Cd3NiF | PBE+U | relaxed

Cell: 4.908 4.908 4.908 Å, 90.00 90.00 90.00°
Fractional coordinates of all 5 atoms:
Cd: 0.500 0.000 0.000
Cd: 0.000 0.500 0.000
Cd: 0.000 0.000 0.500
F: 0.500 0.500 0.500
Ni: 0.000 0.000 0.000

Results
Energy above the most stable polymorph in this dataset, eV per formula unit: 0.00